Record 1
Entry from Alexandria via LeMat-Bulk: a PBEsol-optimized structure of SmCuW2O8 (SCAN).

Properties
- formation energy without anion corrections (eV per atom) = -2.399
- E_tot (hartree per atom) = -0.850

Structure (POSCAR):
```
SmCuW2O8
1.0
4.9930 -0.0002 -0.0033
-2.3033 5.5625 -0.0192
-0.2285 -2.2522 5.7031
W O Sm Cu
2 8 1 1
Direct
0.2446 0.9797 0.6665
0.7554 0.0203 0.3335
0.4983 0.7709 0.0749
0.5359 0.2035 0.4780
0.0057 0.7508 0.7769
0.4641 0.7965 0.5220
0.9717 0.8095 0.3349
0.9943 0.2492 0.2231
0.0283 0.1905 0.6651
0.5017 0.2291 0.9251
0.0000 0.5000 0.0000
0.5000 0.5000 0.5000
```

***

Record 2
Entry from Alexandria via LeMat-Bulk: a PBEsol-optimized structure of Sr16Cu8O23 (SCAN).

Properties
- Fermi-level density of states (states/eV/atom) = 0.032
- formation energy without anion corrections (eV per atom) = -2.328
- E_tot (hartree per atom) = -0.571

Structure (POSCAR):
```
Sr16Cu8O23
1.0
-5.7833 3.4908 0.4527
-2.5168 -9.5993 1.5293
4.7556 3.5854 9.4703
Cu O Sr
8 23 16
Direct
0.1864 0.1858 0.6257
0.9348 0.9362 0.1247
0.5620 0.5635 0.8735
0.6787 0.6797 0.6214
0.3213 0.3203 0.3786
0.4380 0.4365 0.1265
0.0652 0.0638 0.8753
0.8136 0.8142 0.3743
0.3731 0.3740 0.7484
0.7010 0.0138 0.1247
0.8326 0.1423 0.8770
0.2499 0.2478 0.9995
0.0000 0.0000 0.5000
0.5543 0.2539 0.3844
0.1045 0.4030 0.3847
0.3281 0.6417 0.8740
0.1186 0.1194 0.2472
0.8955 0.5970 0.6153
0.6719 0.3583 0.1260
0.7965 0.4863 0.8753
0.8814 0.8806 0.7528
0.4457 0.7461 0.6156
0.2035 0.5137 0.1247
0.1674 0.8577 0.1230
0.7501 0.7522 0.0005
0.9508 0.2623 0.6257
0.6269 0.6260 0.2516
0.0492 0.7377 0.3743
0.5815 0.8943 0.3745
0.4185 0.1057 0.6255
0.2990 0.9862 0.8753
0.2819 0.9916 0.3750
0.4660 0.7604 0.1236
0.7932 0.4911 0.3714
0.7181 0.0084 0.6250
0.6573 0.3591 0.6289
0.4065 0.1144 0.1257
0.2068 0.5089 0.6286
0.5935 0.8856 0.8743
0.5340 0.2396 0.8764
0.3427 0.6409 0.3711
0.9698 0.2595 0.1249
0.8450 0.1373 0.3759
0.9058 0.6136 0.1229
0.0942 0.3864 0.8771
0.0302 0.7405 0.8751
0.1550 0.8627 0.6241
```

***

Record 3
Entry from Alexandria via LeMat-Bulk: a PBEsol-optimized structure of SrCuO3 (SCAN).

Properties
- Fermi-level density of states (states/eV/atom) = 0.500
- formation energy without anion corrections (eV per atom) = -1.572
- E_tot (hartree per atom) = -0.471

Structure (POSCAR):
```
SrCuO3
1.0
3.8253 0.0000 0.0000
0.0000 3.8253 0.0000
0.0000 0.0000 3.8253
O Cu Sr
3 1 1
Direct
0.0000 0.0000 0.5000
0.5000 0.0000 0.0000
0.0000 0.5000 0.0000
0.0000 0.0000 0.0000
0.5000 0.5000 0.5000
```

***

Record 4
Entry from Alexandria via LeMat-Bulk: a PBEsol-optimized structure of SrCuO3 (SCAN).

Properties
- Fermi-level density of states (states/eV/atom) = 0.582
- formation energy without anion corrections (eV per atom) = -1.519
- E_tot (hartree per atom) = -0.469

Structure (POSCAR):
```
SrCuO3
1.0
3.7969 0.0000 0.0000
0.0000 5.3143 0.0000
0.0000 0.0000 8.3979
O Sr Cu
9 3 3
Direct
0.5000 0.0000 0.3077
0.0000 0.7492 0.5000
0.0000 0.2503 0.8309
0.0000 0.7497 0.1691
0.0000 0.2503 0.1691
0.0000 0.2508 0.5000
0.5000 0.0000 0.6923
0.0000 0.7497 0.8309
0.5000 0.5000 0.0000
0.5000 0.0000 0.0000
0.5000 0.5000 0.6953
0.5000 0.5000 0.3047
0.0000 0.0000 0.3344
0.0000 0.5000 0.0000
0.0000 0.0000 0.6656
```

***

Record 5
Entry from Alexandria via LeMat-Bulk: a PBEsol-optimized structure of SrCuTe2O7 (SCAN).

Properties
- formation energy without anion corrections (eV per atom) = -1.556
- E_tot (hartree per atom) = -0.577

Structure (POSCAR):
```
SrCuTe2O7
1.0
5.4428 0.0000 0.0000
0.0000 7.1316 0.0000
0.0000 0.0000 15.1176
O Te Sr Cu
28 8 4 4
Direct
0.0000 0.1147 0.7500
0.4903 0.5455 0.5973
0.2500 0.7620 0.7683
0.5018 0.0722 0.4120
0.0097 0.4545 0.0973
0.7500 0.2387 0.6083
0.2500 0.2380 0.2683
0.7500 0.7620 0.7317
0.5097 0.4545 0.4027
0.7500 0.7613 0.1083
0.5000 0.8853 0.2500
0.5097 0.5455 0.9027
0.0018 0.9278 0.5880
0.9982 0.0722 0.4120
0.9903 0.4545 0.4027
0.4903 0.4545 0.0973
0.4982 0.0722 0.0880
0.5018 0.9278 0.9120
0.4982 0.9278 0.5880
0.2500 0.2387 0.8917
0.0097 0.5455 0.5973
0.7500 0.2380 0.2317
0.0018 0.0722 0.0880
0.9982 0.9278 0.9120
0.0000 0.8853 0.2500
0.2500 0.7613 0.3917
0.5000 0.1147 0.7500
0.9903 0.5455 0.9027
0.2500 0.5101 0.3241
0.2500 0.9981 0.8298
0.7500 0.9981 0.6702
0.2500 0.4899 0.8241
0.7500 0.0019 0.1702
0.2500 0.0019 0.3298
0.7500 0.4899 0.6759
0.7500 0.5101 0.1759
0.2500 0.2336 0.5394
0.7500 0.7664 0.4606
0.7500 0.2336 0.9606
0.2500 0.7664 0.0394
0.7500 0.7427 0.8886
0.2500 0.2573 0.1114
0.2500 0.7427 0.6114
0.7500 0.2573 0.3886
```

***

Record 6
Entry from Alexandria via LeMat-Bulk: a PBEsol-optimized structure of Sr6YTl3Cu6O21 (SCAN).

Properties
- Fermi-level density of states (states/eV/atom) = 0.286
- formation energy without anion corrections (eV per atom) = -1.632
- E_tot (hartree per atom) = -0.657

Structure (POSCAR):
```
Sr6YTl3Cu6O21
1.0
-1.6771 -0.4299 -3.1963
-2.0921 -10.3851 2.4944
-10.8248 3.4340 5.2179
O Sr Cu Tl Y
21 6 6 3 1
Direct
0.0000 0.5000 0.3862
0.0000 0.3374 0.8317
0.5000 0.6559 0.6286
0.0000 0.5000 0.6138
0.0000 0.6626 0.8317
0.5000 0.5000 0.0000
0.0000 0.0000 0.1625
0.5000 0.8257 0.0000
0.5000 0.3441 0.6286
0.5000 0.0000 0.3593
0.5000 0.0000 0.6407
0.0000 0.1603 0.3457
0.0000 0.1603 0.6543
0.0000 0.3374 0.1683
0.0000 0.0000 0.8375
0.0000 0.6626 0.1683
0.5000 0.3441 0.3714
0.5000 0.1743 0.0000
0.5000 0.6559 0.3714
0.0000 0.8397 0.6543
0.0000 0.8397 0.3457
0.5000 0.8332 0.7944
0.5000 0.5000 0.2089
0.5000 0.5000 0.7911
0.5000 0.8332 0.2056
0.5000 0.1668 0.2056
0.5000 0.1668 0.7944
0.0000 0.3200 0.6232
0.0000 0.0000 0.6146
0.0000 0.6800 0.6232
0.0000 0.6800 0.3768
0.0000 0.3200 0.3768
0.0000 0.0000 0.3854
0.0000 0.6654 0.0000
0.0000 0.0000 0.0000
0.0000 0.3346 0.0000
0.5000 0.5000 0.5000
```

***

Question: Among the records above, which one has the highest formation energy without anion corrections?
Answer: number 4

***

Please write out number 2 again, unchanged.
Entry from Alexandria via LeMat-Bulk: a PBEsol-optimized structure of Sr16Cu8O23 (SCAN).

Properties
- Fermi-level density of states (states/eV/atom) = 0.032
- formation energy without anion corrections (eV per atom) = -2.328
- E_tot (hartree per atom) = -0.571

Structure (POSCAR):
```
Sr16Cu8O23
1.0
-5.7833 3.4908 0.4527
-2.5168 -9.5993 1.5293
4.7556 3.5854 9.4703
Cu O Sr
8 23 16
Direct
0.1864 0.1858 0.6257
0.9348 0.9362 0.1247
0.5620 0.5635 0.8735
0.6787 0.6797 0.6214
0.3213 0.3203 0.3786
0.4380 0.4365 0.1265
0.0652 0.0638 0.8753
0.8136 0.8142 0.3743
0.3731 0.3740 0.7484
0.7010 0.0138 0.1247
0.8326 0.1423 0.8770
0.2499 0.2478 0.9995
0.0000 0.0000 0.5000
0.5543 0.2539 0.3844
0.1045 0.4030 0.3847
0.3281 0.6417 0.8740
0.1186 0.1194 0.2472
0.8955 0.5970 0.6153
0.6719 0.3583 0.1260
0.7965 0.4863 0.8753
0.8814 0.8806 0.7528
0.4457 0.7461 0.6156
0.2035 0.5137 0.1247
0.1674 0.8577 0.1230
0.7501 0.7522 0.0005
0.9508 0.2623 0.6257
0.6269 0.6260 0.2516
0.0492 0.7377 0.3743
0.5815 0.8943 0.3745
0.4185 0.1057 0.6255
0.2990 0.9862 0.8753
0.2819 0.9916 0.3750
0.4660 0.7604 0.1236
0.7932 0.4911 0.3714
0.7181 0.0084 0.6250
0.6573 0.3591 0.6289
0.4065 0.1144 0.1257
0.2068 0.5089 0.6286
0.5935 0.8856 0.8743
0.5340 0.2396 0.8764
0.3427 0.6409 0.3711
0.9698 0.2595 0.1249
0.8450 0.1373 0.3759
0.9058 0.6136 0.1229
0.0942 0.3864 0.8771
0.0302 0.7405 0.8751
0.1550 0.8627 0.6241
```